Entry from Alexandria: FeAgMo after structural relaxation (PBE-GGA).

Cell: 4.4557 4.4557 2.6192 Å, 90.00 90.00 120.00°
Sites, in units of the cell vectors:
1 Ag 0.0000 0.0000 0.0730
2 Fe 0.3333 0.6667 0.3155
3 Mo 0.6667 0.3333 0.6114

Values from the calculation:
energy of formation from the pure elements = 45.5 kJ per mole of atoms
E = -6.9104 eV/atom
excess energy over the best structure of this formula in the dataset = 0.33 eV/f.u.